# 1
{
  "formula": "MoRuWO2",
  "functional": "GGA+U",
  "state": "optimized geometry",
  "lattice_angstrom": [[-0.9031, -1.3782, -3.4170], [5.8604, -1.9120, -0.7776], [-0.8790, -3.3360, 1.5778]],
  "species": ["Ru", "Mo", "O", "O", "W"],
  "fractional_positions": [[0.5000, 0.5000, 0.5000], [0.0000, 0.0000, 0.0000], [0.0000, 0.0000, 0.5000], [0.5000, 0.0000, 0.0000], [0.0000, 0.5000, 0.0000]],
  "dft_energy_ev_per_atom": -6.398
}

***

# 2
{
  "formula": "MoSO2",
  "functional": "GGA+U",
  "state": "optimized geometry",
  "lattice_angstrom": [[-1.1888, -4.1903, 4.2303], [4.3422, 2.3417, 3.5398], [-1.3112, 1.7112, 5.6841]],
  "species": ["Mo", "Mo", "S", "S", "O", "O", "O", "O"],
  "fractional_positions": [[0.0000, 0.0000, 0.0000], [0.7500, 0.2500, 0.5000], [0.5000, 0.5000, 0.0000], [0.2500, 0.7500, 0.5000], [0.8742, 0.1250, 0.2500], [0.8758, 0.6250, 0.2500], [0.3750, 0.1258, 0.7500], [0.8750, 0.1242, 0.7500]],
  "dft_energy_ev_per_atom": -5.618
}

***

# 3
{
  "formula": "MoSO6",
  "functional": "GGA+U",
  "state": "optimized geometry",
  "lattice_angstrom": [[5.2020, -0.7723, -0.0598], [-2.6522, 4.5413, -0.0598], [-0.5293, -0.7824, 4.4470]],
  "species": ["Mo", "S", "O", "O", "O", "O", "O", "O"],
  "fractional_positions": [[0.0000, 0.0000, 0.0000], [0.5000, 0.5000, 0.5000], [0.2570, 0.2570, 0.7330], [0.4162, 0.1718, 0.2872], [0.7430, 0.7430, 0.2670], [0.8282, 0.5838, 0.7128], [0.5838, 0.8282, 0.7128], [0.1718, 0.4162, 0.2872]],
  "dft_energy_ev_per_atom": -5.891
}

***

# 4
{
  "formula": "MoSO5",
  "functional": "GGA+U",
  "state": "optimized geometry",
  "lattice_angstrom": [[4.9615, 0.0815, -1.8445], [-0.7082, 5.0054, -1.9054], [0.0346, -0.0538, 7.5709]],
  "species": ["Mo", "Mo", "S", "S", "O", "O", "O", "O", "O", "O", "O", "O", "O", "O"],
  "fractional_positions": [[0.5000, 0.0000, 0.0000], [0.5000, 0.0000, 0.5000], [0.8864, 0.6214, 0.2527], [0.1136, 0.3786, 0.7473], [0.7806, 0.7346, 0.0936], [0.1875, 0.6726, 0.3409], [0.4349, 0.0602, 0.2653], [0.7801, 0.7376, 0.4210], [0.2199, 0.2624, 0.5790], [0.8220, 0.3284, 0.1645], [0.1780, 0.6716, 0.8355], [0.5651, 0.9398, 0.7347], [0.8125, 0.3274, 0.6591], [0.2194, 0.2654, 0.9064]],
  "dft_energy_ev_per_atom": -6.610
}

***

# 5
{
  "formula": "MoS3O9",
  "functional": "GGA+U",
  "state": "optimized geometry",
  "lattice_angstrom": [[-4.9077, -0.8513, 6.3515], [-3.2107, -7.1650, 1.6876], [3.1913, -3.1050, 7.1786]],
  "species": ["Mo", "Mo", "S", "S", "S", "S", "S", "S", "O", "O", "O", "O", "O", "O", "O", "O", "O", "O", "O", "O", "O", "O", "O", "O", "O", "O"],
  "fractional_positions": [[0.0014, 0.4960, 0.0070], [0.4956, 0.9960, 0.5070], [0.8679, 0.5872, 0.6395], [0.9054, 0.0872, 0.1395], [0.1041, 0.8874, 0.8068], [0.2017, 0.3874, 0.3068], [0.4906, 0.2492, 0.7509], [0.5093, 0.7492, 0.2509], [0.2301, 0.1984, 0.4433], [0.1283, 0.6984, 0.9433], [0.2709, 0.2795, 0.9050], [0.5446, 0.7795, 0.4050], [0.3073, 0.9057, 0.7561], [0.0309, 0.4057, 0.2561], [0.7294, 0.7155, 0.0981], [0.4570, 0.2155, 0.5981], [0.6968, 0.0776, 0.2503], [0.9753, 0.5776, 0.7503], [0.7492, 0.8008, 0.5911], [0.8589, 0.3008, 0.0911], [0.4761, 0.5740, 0.3112], [0.6387, 0.0740, 0.8112], [0.5196, 0.4270, 0.6912], [0.3622, 0.9270, 0.1912], [0.9324, 0.0592, 0.9274], [0.0810, 0.5592, 0.4274]],
  "dft_energy_ev_per_atom": -6.143
}

***

# 6
{
  "formula": "Mo2S2O",
  "functional": "GGA+U",
  "state": "optimized geometry",
  "lattice_angstrom": [[4.4454, 0.0000, 0.0000], [0.0000, 4.4454, 0.0000], [2.2227, 2.2227, 4.5820]],
  "species": ["Mo", "Mo", "S", "S", "O"],
  "fractional_positions": [[0.7500, 0.2500, 0.5000], [0.2500, 0.7500, 0.5000], [0.3540, 0.3540, 0.2921], [0.6460, 0.6460, 0.7079], [0.0000, 0.0000, 0.0000]],
  "dft_energy_ev_per_atom": -5.022
}